1.
The following is a PBE calculation of a geometry-optimized PmEuGaSi structure, from Alexandria via LeMat-Bulk.

POSCAR file:
```
PmEuGaSi
1.0
5.1711 0.0000 0.0000
2.5856 4.4783 0.0000
2.5856 1.4928 4.2222
Pm Eu Ga Si
1 1 1 1
Cartesian
0.0000 0.0000 0.0000
5.1711 2.9855 2.1111
2.5856 1.4928 1.0555
7.7567 4.4783 3.1666
```

- N(E_F) (states/eV per cell) = 2.19
- total energy (eV/atom) = -6.304
- theoretical density (Mg/m³) = 6.7

***

2.
The following is a PBE calculation of a geometry-optimized Ca2DyMnSe4 structure, from Alexandria via LeMat-Bulk.

POSCAR file:
```
Ca2DyMnSe4
1.0
4.0830 0.0000 0.0000
0.0000 7.0544 0.0881
0.0000 -2.4978 6.6808
Mn Se Dy Ca
1 4 1 2
Cartesian
0.0000 0.0000 0.0000
0.0000 -0.1430 5.0888
2.0415 3.4704 5.2068
2.0415 1.0862 1.5620
0.0000 4.6996 1.6801
2.0415 3.5272 0.0440
2.0415 -1.2489 3.3404
0.0000 2.2783 3.3844
```

- N(E_F) (states/eV per cell) = 2.13
- total energy (eV/atom) = -5.489
- theoretical density (Mg/m³) = 5.3

***

3.
The following is a PBE calculation of a geometry-optimized SrSb3Au structure, from Alexandria via LeMat-Bulk.

POSCAR file:
```
SrSb3Au
1.0
5.4885 0.0000 0.0000
0.0000 5.4885 0.0000
0.0000 0.0000 5.4885
Sb Au Sr
3 1 1
Cartesian
2.7442 0.0000 0.0000
0.0000 2.7442 0.0000
0.0000 0.0000 2.7442
0.0000 0.0000 0.0000
2.7442 2.7442 2.7442
```

- N(E_F) (states/eV per cell) = 3.74
- total energy (eV/atom) = -3.515
- energy relative to the lowest polymorph listed for this composition (kJ/mol of atoms) = 32.8
- theoretical density (Mg/m³) = 6.5

***

4.
The following is a PBE calculation of a geometry-optimized Zn2CdBiSb structure, from Alexandria via LeMat-Bulk.

POSCAR file:
```
Zn2CdBiSb
1.0
-4.4905 2.0407 1.6286
-3.0878 -4.6594 -2.6753
0.3435 -2.7501 4.3932
Zn Cd Bi Sb
2 1 1 1
Cartesian
-2.2452 1.0204 0.8143
0.1717 -1.3750 2.1966
-3.6174 -2.6844 1.6732
-1.5439 -2.3297 -1.3376
0.0000 0.0000 0.0000
```

- N(E_F) (states/eV per cell) = 4.30
- total energy (eV/atom) = -1.800
- theoretical density (Mg/m³) = 5.7

***

5.
The following is a PBE calculation of a geometry-optimized BaNiW4 structure, from Alexandria via LeMat-Bulk.

POSCAR file:
```
BaNiW4
1.0
0.0000 3.8865 3.8865
3.8865 0.0000 3.8865
3.8865 3.8865 0.0000
W Ni Ba
4 1 1
Cartesian
4.8630 2.9099 4.8630
2.9099 4.8630 4.8630
2.9099 2.9099 2.9099
4.8630 4.8630 2.9099
0.0000 0.0000 0.0000
5.8297 5.8297 5.8297
```

- N(E_F) (states/eV per cell) = 7.42
- DFT formation energy (meV per atom) = 1175.9
- total energy (eV/atom) = -8.744
- theoretical density (Mg/m³) = 13.2

***

6.
The following is a PBE calculation of a geometry-optimized YSiP2 structure, from Alexandria via LeMat-Bulk.

POSCAR file:
```
YSiP2
1.0
3.9031 0.0000 0.0000
0.0000 3.9279 -0.0672
0.0000 2.0894 5.4372
P Si Y
2 1 1
Cartesian
1.9515 2.2307 1.6639
0.0000 2.3215 4.9360
0.0000 2.2904 2.7470
1.9515 4.2728 4.1452
```

- N(E_F) (states/eV per cell) = 1.13
- total energy (eV/atom) = -6.300
- theoretical density (Mg/m³) = 3.5